## Zr2ScCo2 (GGA-PBE)

Data for a relaxed structure of Zr2ScCo2.

## Properties
polymorph energy (0 for the lowest one) = 0.22 eV/f.u.
ΔE_f = -0.21 eV/atom
energy = -7.735 eV per atom

Cell lengths 5.1272, 5.4493, 7.4577 Å; angles 74.73, 90.00, 61.94 degrees
Sites, in units of the cell vectors:
Zr: 0.5033 0.3047 0.3458
Zr: 0.8081 0.6953 0.1542
Zr: 0.4967 0.6953 0.6542
Zr: 0.1919 0.3047 0.8458
Sc: 0.1640 0.0000 0.2500
Sc: 0.8360 0.0000 0.7500
Co: 0.2870 0.7198 0.0048
Co: 0.0067 0.2802 0.4953
Co: 0.7130 0.2802 0.9952
Co: 0.9933 0.7198 0.5047